[1]
Computed, not measured: a PBEsol-optimized structure of Li2CdNi at the SCAN level of DFT.

energy of formation from the pure elements: -70 meV/atom
D(E_F): 3.10 states/eV/cell

```
data_Li2CdNi
_space_group_name_H-M_alt 'I -4 m 2'
_space_group_IT_number 119
_space_group_name_Hall 'I -4 -2'
_cell_length_a 4.326
_cell_length_b 4.326
_cell_length_c 6.063
_cell_angle_alpha 90.00
_cell_angle_beta 90.00
_cell_angle_gamma 90.00
loop_
_atom_site_label
_atom_site_type_symbol
_atom_site_fract_x
_atom_site_fract_y
_atom_site_fract_z
Li1 Li 0.000 0.000 0.000
Li2 Li 0.000 0.500 0.250
Cd1 Cd 0.000 0.000 0.500
Ni1 Ni 0.000 0.500 0.750
```

=====

[2]
Computed, not measured: a PBEsol-optimized structure of Li3CdNi at the SCAN level of DFT.

energy of formation from the pure elements: 294 meV/atom
D(E_F): 2.18 states/eV/cell

```
data_Li3CdNi
_space_group_name_H-M_alt 'P m -3 m'
_space_group_IT_number 221
_space_group_name_Hall '-P 4 2 3'
_cell_length_a 4.466
_cell_length_b 4.466
_cell_length_c 4.466
_cell_angle_alpha 90.00
_cell_angle_beta 90.00
_cell_angle_gamma 90.00
loop_
_atom_site_label
_atom_site_type_symbol
_atom_site_fract_x
_atom_site_fract_y
_atom_site_fract_z
Li1 Li 0.000 0.000 0.500
Cd1 Cd 0.500 0.500 0.500
Ni1 Ni 0.000 0.000 0.000
```

=====

[3]
Computed, not measured: a PBEsol-optimized structure of LiCdNi2 at the SCAN level of DFT.

energy of formation from the pure elements: 79 meV/atom
D(E_F): 4.87 states/eV/cell

```
data_LiCdNi2
_space_group_name_H-M_alt 'I 4/m m m'
_space_group_IT_number 139
_space_group_name_Hall '-I 4 2'
_cell_length_a 3.625
_cell_length_b 3.625
_cell_length_c 7.707
_cell_angle_alpha 90.00
_cell_angle_beta 90.00
_cell_angle_gamma 90.00
loop_
_atom_site_label
_atom_site_type_symbol
_atom_site_fract_x
_atom_site_fract_y
_atom_site_fract_z
Li1 Li 0.000 0.000 0.000
Cd1 Cd 0.000 0.000 0.500
Ni1 Ni 0.000 0.500 0.250
```

=====

[4]
Computed, not measured: a PBEsol-optimized structure of LiCdNi at the SCAN level of DFT.

energy of formation from the pure elements: 6 meV/atom
D(E_F): 2.40 states/eV/cell

```
data_LiCdNi
_space_group_name_H-M_alt 'I m m 2'
_space_group_IT_number 44
_cell_length_a 2.767
_cell_length_b 3.775
_cell_length_c 8.086
_cell_angle_alpha 90.00
_cell_angle_beta 90.00
_cell_angle_gamma 90.00
loop_
_space_group_symop_operation_xyz
'x,y,z'
'-x,-y,z'
'-x,y,z'
'x,-y,z'
'x+1/2,y+1/2,z+1/2'
'-x+1/2,-y+1/2,z+1/2'
'-x+1/2,y+1/2,z+1/2'
'x+1/2,-y+1/2,z+1/2'
loop_
_atom_site_label
_atom_site_type_symbol
_atom_site_fract_x
_atom_site_fract_y
_atom_site_fract_z
Li1 Li 0.000 0.000 0.000
Cd1 Cd 0.000 0.000 0.677
Ni1 Ni 0.000 0.000 0.340
```

=====

[5]
Computed, not measured: a PBEsol-optimized structure of Li2CdNi at the SCAN level of DFT.

energy of formation from the pure elements: -1 meV/atom
D(E_F): 1.49 states/eV/cell

```
data_Li2CdNi
_space_group_name_H-M_alt 'P 4 m m'
_space_group_IT_number 99
_cell_length_a 2.994
_cell_length_b 2.994
_cell_length_c 6.579
_cell_angle_alpha 90.00
_cell_angle_beta 90.00
_cell_angle_gamma 90.00
loop_
_space_group_symop_operation_xyz
'x,y,z'
'-y,x,z'
'-x,-y,z'
'y,-x,z'
'-x,y,z'
'y,x,z'
'x,-y,z'
'-y,-x,z'
loop_
_atom_site_label
_atom_site_type_symbol
_atom_site_fract_x
_atom_site_fract_y
_atom_site_fract_z
Li1 Li 0.000 0.000 0.000
Li2 Li 0.500 0.500 0.273
Cd1 Cd 0.500 0.500 0.716
Ni1 Ni 0.000 0.000 0.470
```

=====

[6]
Computed, not measured: a PBEsol-optimized structure of Li2CdNi at the SCAN level of DFT.

energy of formation from the pure elements: -59 meV/atom
D(E_F): 2.93 states/eV/cell

```
data_Li2CdNi
_space_group_name_H-M_alt 'C 1 2/m 1'
_space_group_IT_number 12
_cell_length_a 9.724
_cell_length_b 2.913
_cell_length_c 4.420
_cell_angle_alpha 90.00
_cell_angle_beta 113.82
_cell_angle_gamma 90.00
loop_
_space_group_symop_operation_xyz
'x,y,z'
'-x,-y,-z'
'-x,y,-z'
'x,-y,z'
'x+1/2,y+1/2,z'
'-x+1/2,-y+1/2,-z'
'-x+1/2,y+1/2,-z'
'x+1/2,-y+1/2,z'
loop_
_atom_site_label
_atom_site_type_symbol
_atom_site_fract_x
_atom_site_fract_y
_atom_site_fract_z
Li1 Li 0.229 0.000 0.227
Cd1 Cd 0.000 0.000 0.500
Ni1 Ni 0.000 0.500 0.000
```

=====

[7]
Computed, not measured: a PBEsol-optimized structure of Li2CdNiPt at the SCAN level of DFT.

energy of formation from the pure elements: 118 meV/atom
D(E_F): 1.76 states/eV/cell

```
data_Li2CdNiPt
_space_group_name_H-M_alt 'P 4/m m m'
_space_group_IT_number 123
_space_group_name_Hall '-P 4 2'
_cell_length_a 4.241
_cell_length_b 4.241
_cell_length_c 4.630
_cell_angle_alpha 90.00
_cell_angle_beta 90.00
_cell_angle_gamma 90.00
loop_
_atom_site_label
_atom_site_type_symbol
_atom_site_fract_x
_atom_site_fract_y
_atom_site_fract_z
Li1 Li 0.000 0.500 0.000
Cd1 Cd 0.000 0.000 0.500
Ni1 Ni 0.500 0.500 0.000
Pt1 Pt 0.500 0.500 0.500
```

=====

[8]
Computed, not measured: a PBEsol-optimized structure of Li2CdP4O12 at the SCAN level of DFT.

formation energy from raw total energies: -2.380 eV per atom
D(E_F): 0.00 states/eV/cell

```
data_Li2CdP4O12
_space_group_name_H-M_alt 'P n m a'
_space_group_IT_number 62
_cell_length_a 9.515
_cell_length_b 9.442
_cell_length_c 10.124
_cell_angle_alpha 90.00
_cell_angle_beta 90.00
_cell_angle_gamma 90.00
loop_
_space_group_symop_operation_xyz
'x,y,z'
'-x,-y,-z'
'-x+1/2,-y,z+1/2'
'x+1/2,y,-z+1/2'
'x+1/2,-y+1/2,-z+1/2'
'-x+1/2,y+1/2,z+1/2'
'-x,y+1/2,-z'
'x,-y+1/2,z'
loop_
_atom_site_label
_atom_site_type_symbol
_atom_site_fract_x
_atom_site_fract_y
_atom_site_fract_z
Li1 Li 0.003 0.105 0.173
Cd1 Cd 0.012 0.250 0.807
P1 P 0.194 0.750 0.602
P2 P 0.206 0.532 0.388
P3 P 0.232 0.250 0.515
O1 O 0.098 0.750 0.719
O2 O 0.110 0.750 0.005
O3 O 0.115 0.561 0.270
O4 O 0.137 0.049 0.879
O5 O 0.147 0.618 0.512
O6 O 0.150 0.250 0.122
O7 O 0.167 0.250 0.648
O8 O 0.168 0.125 0.428
```

=====

[9]
Computed, not measured: a PBEsol-optimized structure of LiCd2RuO at the SCAN level of DFT.

formation energy from raw total energies: 0.958 eV per atom
D(E_F): 1.75 states/eV/cell

```
data_LiCd2RuO
_space_group_name_H-M_alt 'P 4/m m m'
_space_group_IT_number 123
_space_group_name_Hall '-P 4 2'
_cell_length_a 4.479
_cell_length_b 4.479
_cell_length_c 4.071
_cell_angle_alpha 90.00
_cell_angle_beta 90.00
_cell_angle_gamma 90.00
loop_
_atom_site_label
_atom_site_type_symbol
_atom_site_fract_x
_atom_site_fract_y
_atom_site_fract_z
Li1 Li 0.000 0.000 0.000
Cd1 Cd 0.000 0.500 0.000
Ru1 Ru 0.000 0.000 0.500
O1 O 0.500 0.500 0.500
```

=====

[10]
Computed, not measured: a PBEsol-optimized structure of Li2CdSiO4 at the SCAN level of DFT.

formation energy from raw total energies: -2.407 eV per atom
D(E_F): 0.00 states/eV/cell

```
data_Li2CdSiO4
_space_group_name_H-M_alt 'P n m a'
_space_group_IT_number 62
_cell_length_a 10.716
_cell_length_b 6.473
_cell_length_c 5.109
_cell_angle_alpha 90.00
_cell_angle_beta 90.00
_cell_angle_gamma 90.00
loop_
_space_group_symop_operation_xyz
'x,y,z'
'-x,-y,-z'
'-x+1/2,-y,z+1/2'
'x+1/2,y,-z+1/2'
'x+1/2,-y+1/2,-z+1/2'
'-x+1/2,y+1/2,z+1/2'
'-x,y+1/2,-z'
'x,-y+1/2,z'
loop_
_atom_site_label
_atom_site_type_symbol
_atom_site_fract_x
_atom_site_fract_y
_atom_site_fract_z
Li1 Li 0.088 0.001 0.173
Cd1 Cd 0.162 0.250 0.672
Si1 Si 0.158 0.750 0.667
O1 O 0.089 0.546 0.792
O2 O 0.145 0.750 0.345
O3 O 0.191 0.250 0.242
```

=====

[11]
Computed, not measured: a PBEsol-optimized structure of Li2CdWO at the SCAN level of DFT.

formation energy from raw total energies: 1.132 eV per atom
D(E_F): 1.66 states/eV/cell

```
data_Li2CdWO
_space_group_name_H-M_alt 'P 4/m m m'
_space_group_IT_number 123
_space_group_name_Hall '-P 4 2'
_cell_length_a 5.074
_cell_length_b 5.074
_cell_length_c 3.913
_cell_angle_alpha 90.00
_cell_angle_beta 90.00
_cell_angle_gamma 90.00
loop_
_atom_site_label
_atom_site_type_symbol
_atom_site_fract_x
_atom_site_fract_y
_atom_site_fract_z
Li1 Li 0.000 0.500 0.000
Cd1 Cd 0.000 0.000 0.000
W1 W 0.500 0.500 0.500
O1 O 0.000 0.000 0.500
```

=====

[12]
Computed, not measured: a PBEsol-optimized structure of LiCdOs at the SCAN level of DFT.

energy of formation from the pure elements: 251 meV/atom
D(E_F): 2.25 states/eV/cell

```
data_LiCdOs
_space_group_name_H-M_alt 'P 3 m 1'
_space_group_IT_number 156
_cell_length_a 2.7434
_cell_length_b 2.7434
_cell_length_c 7.1114
_cell_angle_alpha 90.00
_cell_angle_beta 90.00
_cell_angle_gamma 120.00
loop_
_space_group_symop_operation_xyz
'x,y,z'
'-y,x-y,z'
'-x+y,-x,z'
'-y,-x,z'
'-x+y,y,z'
'x,x-y,z'
loop_
_atom_site_label
_atom_site_type_symbol
_atom_site_fract_x
_atom_site_fract_y
_atom_site_fract_z
Li1 Li 0.0000 0.0000 0.0000
Cd1 Cd 0.3333 0.6667 0.3504
Os1 Os 0.6667 0.3333 0.6986
```

=====

no.,total moment (μB per formula unit)
1,0.00
2,0.00
3,0.00
4,0.00
5,0.00
6,0.00
7,0.88
8,0.00
9,1.06
10,0.00
11,4.54
12,0.00